Entry from OQMD via LeMat-Bulk: crystalline AgAu3 at its relaxed geometry (GGA-PBE).

CIF file:
```
data_AgAu3
_space_group_name_H-M_alt 'F m m m'
_space_group_IT_number 69
_space_group_name_Hall '-F 2 2'
_cell_length_a 8.274
_cell_length_b 8.316
_cell_length_c 8.362
_cell_angle_alpha 90.00
_cell_angle_beta 90.00
_cell_angle_gamma 90.00
loop_
_atom_site_label
_atom_site_type_symbol
_atom_site_fract_x
_atom_site_fract_y
_atom_site_fract_z
Ag1 Ag 0.250 0.250 0.250
Au1 Au 0.000 0.000 0.250
Au2 Au 0.000 0.249 0.000
Au3 Au 0.249 0.000 0.500
```

* DFT formation energy: -0.050 eV/atom
* V: 575.4 Å³ per cell
* crystal system: orthorhombic
* E: -3.206 eV per atom